# PBE Hf2TlInPd, relaxed
# - DFT formation energy (eV/atom) = 1.375
data_Hf2TlInPd
_chemical_formula_sum 'Hf2 Tl1 In1 Pd1'
_symmetry_space_group_name_H-M 'P 4/m m m'
_symmetry_Int_Tables_number 123
_symmetry_space_group_name_Hall '-P 4 2'
_cell_length_a 5.297
_cell_length_b 5.297
_cell_length_c 5.194
_cell_angle_alpha 90.00
_cell_angle_beta 90.00
_cell_angle_gamma 90.00
loop_
_atom_site_label
_atom_site_type_symbol
_atom_site_fract_x
_atom_site_fract_y
_atom_site_fract_z
Hf1 Hf 0.000 0.500 0.000
Tl1 Tl 0.000 0.000 0.000
In1 In 0.000 0.000 0.500
Pd1 Pd 0.500 0.500 0.500


# PBE HfZn2InPd, relaxed
# - DFT formation energy (eV/atom) = 0.330
data_HfZn2InPd
_chemical_formula_sum 'Hf1 Zn2 In1 Pd1'
_symmetry_space_group_name_H-M 'P 4/m m m'
_symmetry_Int_Tables_number 123
_symmetry_space_group_name_Hall '-P 4 2'
_cell_length_a 4.673
_cell_length_b 4.673
_cell_length_c 4.986
_cell_angle_alpha 90.00
_cell_angle_beta 90.00
_cell_angle_gamma 90.00
loop_
_atom_site_label
_atom_site_type_symbol
_atom_site_fract_x
_atom_site_fract_y
_atom_site_fract_z
Hf1 Hf 0.000 0.000 0.000
Zn1 Zn 0.000 0.500 0.500
In1 In 0.500 0.500 0.000
Pd1 Pd 0.500 0.500 0.500


# PBE HfZr2InPd, relaxed
# - DFT formation energy (eV/atom) = 0.260
data_HfZr2InPd
_chemical_formula_sum 'Hf1 Zr2 In1 Pd1'
_symmetry_space_group_name_H-M 'P 4/m m m'
_symmetry_Int_Tables_number 123
_symmetry_space_group_name_Hall '-P 4 2'
_cell_length_a 5.075
_cell_length_b 5.075
_cell_length_c 4.999
_cell_angle_alpha 90.00
_cell_angle_beta 90.00
_cell_angle_gamma 90.00
loop_
_atom_site_label
_atom_site_type_symbol
_atom_site_fract_x
_atom_site_fract_y
_atom_site_fract_z
Hf1 Hf 0.000 0.000 0.000
Zr1 Zr 0.000 0.500 0.500
In1 In 0.500 0.500 0.000
Pd1 Pd 0.000 0.000 0.500


# PBE PmHfIn2, relaxed
# - DFT formation energy (eV/atom) = -0.210
data_PmHfIn2
_chemical_formula_sum 'Pm1 Hf1 In2'
_symmetry_space_group_name_H-M 'P 4/m m m'
_symmetry_Int_Tables_number 123
_symmetry_space_group_name_Hall '-P 4 2'
_cell_length_a 4.699
_cell_length_b 4.699
_cell_length_c 4.490
_cell_angle_alpha 90.00
_cell_angle_beta 90.00
_cell_angle_gamma 90.00
loop_
_atom_site_label
_atom_site_type_symbol
_atom_site_fract_x
_atom_site_fract_y
_atom_site_fract_z
Pm1 Pm 0.000 0.000 0.000
Hf1 Hf 0.500 0.500 0.000
In1 In 0.000 0.500 0.500


# PBE Pm2HfIn, relaxed
# - DFT formation energy (eV/atom) = -0.100
# - offset from the most stable computed form (meV/atom) = 5
data_Pm2HfIn
_chemical_formula_sum 'Pm2 Hf1 In1'
_symmetry_space_group_name_H-M 'P 4/m m m'
_symmetry_Int_Tables_number 123
_symmetry_space_group_name_Hall '-P 4 2'
_cell_length_a 3.392
_cell_length_b 3.392
_cell_length_c 9.732
_cell_angle_alpha 90.00
_cell_angle_beta 90.00
_cell_angle_gamma 90.00
loop_
_atom_site_label
_atom_site_type_symbol
_atom_site_fract_x
_atom_site_fract_y
_atom_site_fract_z
Pm1 Pm 0.000 0.000 0.250
Hf1 Hf 0.500 0.500 0.000
In1 In 0.500 0.500 0.500


# PBE PmHf2In, relaxed
# - DFT formation energy (eV/atom) = 0.292
# - offset from the most stable computed form (meV/atom) = 332
data_PmHf2In
_chemical_formula_sum 'Pm3 Hf6 In3'
_symmetry_space_group_name_H-M 'R -3 m'
_symmetry_Int_Tables_number 166
_symmetry_space_group_name_Hall '-R 3 2"'
_cell_length_a 3.1748
_cell_length_b 3.1748
_cell_length_c 34.3586
_cell_angle_alpha 90.00
_cell_angle_beta 90.00
_cell_angle_gamma 120.00
loop_
_atom_site_label
_atom_site_type_symbol
_atom_site_fract_x
_atom_site_fract_y
_atom_site_fract_z
Pm1 Pm 0.0000 0.0000 0.0000
Hf1 Hf 0.0000 0.0000 0.0920
In1 In 0.0000 0.0000 0.5000


- The lowest DFT formation energy belongs to which entry?
  PmHfIn2